# 1
Material: MnAgAu2
Method: DFT, PBE
State: relaxed

Computed properties:
**Crystal system**: tetragonal
**N(E_F)**: 0.536 states/eV per atom
**SG**: No. 99
**Energy of formation**: 25 meV/atom

abc: 3.4288 3.4288 5.9481
angles: 90.00 90.00 90.00
Closest atoms and distances in Å follow each position.
Atoms (fractional coordinates):
Mn (0.0000, 0.0000, 0.0000)  6 Au 2.77-3.01, 4 Ag 2.86
Ag (0.5000, 0.5000, 0.2555)  6 Au 2.84-3.08, 4 Mn 2.86
Au (0.0000, 0.0000, 0.5056)  4 Ag 2.84, 4 Au 2.90, 2 Mn 2.94-3.01
Au (0.5000, 0.5000, 0.7742)  4 Mn 2.77, 2 Ag 2.86-3.08, 4 Au 2.90



# 2
Material: TmTh2PaAs4
Method: DFT, PBE
State: relaxed

Computed properties:
**Crystal system**: monoclinic
**N(E_F)**: 0.785 states/eV per atom
**SG**: No. 10
**Energy of formation**: -1327 meV/atom

abc: 7.2070 4.1712 7.2174
angles: 90.00 109.51 90.00
Closest atoms and distances in Å follow each position.
Atoms (fractional coordinates):
Tm (0.0000, 0.0000, 0.0000)  6 As 2.88-2.89
Th (0.0000, 0.5000, 0.5000)  6 As 3.00
Th (0.5000, 0.0000, 0.5000)  6 As 3.00-3.01
Pa (0.5000, 0.5000, 0.0000)  6 As 2.89-2.90
As (0.2455, 0.5000, 0.2362)  1 Pa 2.89, 2 Tm 2.89, 3 Th 3.00
As (0.2531, 0.0000, 0.7637)  1 Tm 2.88, 2 Pa 2.90, 3 Th 3.00-3.01
As (0.7469, 0.0000, 0.2363)  1 Tm 2.88, 2 Pa 2.90, 3 Th 3.00-3.01
As (0.7545, 0.5000, 0.7638)  1 Pa 2.89, 2 Tm 2.89, 3 Th 3.00



# 3
Material: La2TmAs
Method: DFT, PBE
State: relaxed

Computed properties:
**Crystal system**: trigonal
**N(E_F)**: 1.315 states/eV per atom
**SG**: No. 166
**Energy of formation**: -386 meV/atom

abc: 10.8241 10.8241 10.8241
angles: 20.91 20.91 20.91
Closest atoms and distances in Å follow each position.
Atoms (fractional coordinates):
La (0.1084, 0.1084, 0.1084)  3 As 2.93
La (0.8916, 0.8916, 0.8916)  3 As 2.93
Tm (0.0000, 0.0000, 0.0000)  2 La 3.44
As (0.5000, 0.5000, 0.5000)  6 La 2.93



# 4
Material: TaVI2N
Method: DFT, PBE
State: relaxed

Computed properties:
**Crystal system**: tetragonal
**N(E_F)**: 0.569 states/eV per atom
**SG**: No. 123
**E above lowest polymorph**: 233 meV/atom

abc: 5.5390 5.5390 3.6186
angles: 90.00 90.00 90.00
Closest atoms and distances in Å follow each position.
Atoms (fractional coordinates):
Ta (0.0000, 0.0000, 0.0000)  8 I 3.31, 2 Ta 3.62
V (0.5000, 0.5000, 0.5000)  2 N 1.81
I (0.0000, 0.5000, 0.5000)  2 V 2.77
I (0.5000, 0.0000, 0.5000)  2 V 2.77
N (0.5000, 0.5000, 0.0000)  2 V 1.81



# 5
Material: ReSN2F
Method: DFT, PBE
State: relaxed

Computed properties:
**Crystal system**: tetragonal
**N(E_F)**: 0.404 states/eV per atom
**SG**: No. 123
**E above lowest polymorph**: 1354 meV/atom

abc: 3.8431 3.8431 3.7796
angles: 90.00 90.00 90.00
Closest atoms and distances in Å follow each position.
Atoms (fractional coordinates):
Re (0.0000, 0.0000, 0.0000)  8 N 2.70, 4 F 2.72
S (0.5000, 0.5000, 0.5000)  2 F 1.89, 4 N 1.92
N (0.0000, 0.5000, 0.5000)  2 S 1.92
N (0.5000, 0.0000, 0.5000)  2 S 1.92
F (0.5000, 0.5000, 0.0000)  2 S 1.89



# 6
Material: MnAgPIrBr
Method: DFT, PBE
State: relaxed

Computed properties:
**Crystal system**: trigonal
**N(E_F)**: 0.357 states/eV per atom
**SG**: No. 156
**E above lowest polymorph**: 9 meV/atom

abc: 3.9965 3.9965 7.2657
angles: 90.00 90.00 120.00
Closest atoms and distances in Å follow each position.
Atoms (fractional coordinates):
Mn (0.0000, 0.0000, 0.0000)  3 P 2.49, 3 Ir 2.65
Ag (0.6667, 0.3333, 0.7696)  1 P 2.62, 3 Br 2.79, 3 Mn 2.85
P (0.6667, 0.3333, 0.1304)  3 Ir 2.34, 3 Mn 2.49
Ir (0.3333, 0.6667, 0.1797)  3 P 2.34
Br (0.3333, 0.6667, 0.5528)  1 Ir 2.71, 3 Ag 2.79



# 7
Material: Tb9Nd2Dy
Method: DFT, PBE
State: relaxed

Computed properties:
**Crystal system**: tetragonal
**N(E_F)**: 1.533 states/eV per atom
**SG**: No. 123
**E above lowest polymorph**: 0 meV/atom
**Energy of formation**: 19 meV/atom

abc: 5.0604 5.0604 15.1832
angles: 90.00 90.00 90.00
Closest atoms and distances in Å follow each position.
Atoms (fractional coordinates):
Tb (0.0000, 0.0000, 0.0000)  8 Tb 3.56, 4 Dy 3.58
Tb (0.0000, 0.0000, 0.3321)  4 Nd 3.58, 8 Tb 3.59
Tb (0.0000, 0.0000, 0.6679)  4 Nd 3.58, 8 Tb 3.59
Tb (0.0000, 0.5000, 0.1647)  8 Tb 3.56-3.59, 2 Dy 3.56, 2 Nd 3.59
Tb (0.0000, 0.5000, 0.5000)  8 Tb 3.58-3.59, 4 Nd 3.59
Tb (0.0000, 0.5000, 0.8353)  8 Tb 3.56-3.59, 2 Dy 3.56, 2 Nd 3.59
Tb (0.5000, 0.0000, 0.1647)  8 Tb 3.56-3.59, 2 Dy 3.56, 2 Nd 3.59
Tb (0.5000, 0.0000, 0.5000)  8 Tb 3.58-3.59, 4 Nd 3.59
Tb (0.5000, 0.0000, 0.8353)  8 Tb 3.56-3.59, 2 Dy 3.56, 2 Nd 3.59
Nd (0.5000, 0.5000, 0.3325)  12 Tb 3.58-3.59
Nd (0.5000, 0.5000, 0.6675)  12 Tb 3.58-3.59
Dy (0.5000, 0.5000, 0.0000)  12 Tb 3.56-3.58



# 8
Material: Cs2BaSe8
Method: DFT, PBE
State: relaxed

Computed properties:
**Crystal system**: monoclinic
**N(E_F)**: 0.207 states/eV per atom
**SG**: No. 12
**E**: -3.456 eV per atom

abc: 10.8115 10.8115 5.1097
angles: 100.70 100.70 40.88
Closest atoms and distances in Å follow each position.
Atoms (fractional coordinates):
Cs (0.1734, 0.1734, 0.2843)  11 Se 3.62-4.00
Cs (0.8266, 0.8266, 0.7157)  11 Se 3.62-4.00
Ba (0.5000, 0.5000, 0.5000)  6 Se 3.29-3.41
Se (0.0196, 0.0196, 0.7482)  1 Se 2.50
Se (0.1921, 0.5069, 0.2452)  1 Se 2.38
Se (0.3566, 0.3566, 0.7538)  4 Se 2.81-2.84
Se (0.4931, 0.8079, 0.7548)  1 Se 2.38
Se (0.5069, 0.1921, 0.2452)  1 Se 2.38
Se (0.6434, 0.6434, 0.2462)  4 Se 2.81-2.84
Se (0.8079, 0.4931, 0.7548)  1 Se 2.38
Se (0.9804, 0.9804, 0.2518)  1 Se 2.50



# 9
Material: CuRhW
Method: DFT, PBE
State: relaxed

Computed properties:
**Crystal system**: tetragonal
**N(E_F)**: 1.045 states/eV per atom
**SG**: No. 107
**E above lowest polymorph**: 95 meV/atom
**Energy of formation**: 72 meV/atom

abc: 5.7725 5.7725 5.7725
angles: 151.93 151.93 40.12
Closest atoms and distances in Å follow each position.
Atoms (fractional coordinates):
Cu (0.0000, 0.0000, 0.0000)  4 Rh 2.67, 4 W 2.69, 4 Cu 2.80
Rh (0.6646, 0.6646, 0.0000)  4 Cu 2.67, 4 W 2.69, 4 Rh 2.80
W (0.3323, 0.3323, 0.0000)  4 Rh 2.69, 4 Cu 2.69, 4 W 2.80



# 10
Material: BaAcCN2
Method: DFT, PBE
State: relaxed

Computed properties:
**Crystal system**: monoclinic
**N(E_F)**: 0.664 states/eV per atom
**SG**: No. 10
**E**: -6.876 eV per atom

abc: 4.3985 5.4901 5.7389
angles: 90.00 90.06 90.00
Closest atoms and distances in Å follow each position.
Atoms (fractional coordinates):
Ba (0.0000, 0.0000, 0.0000)  2 C 2.87, 4 N 3.13
Ac (0.5000, 0.5000, 0.5000)  4 N 2.67
C (0.0000, 0.0000, 0.5000)  2 N 1.24
N (0.0000, 0.2258, 0.5000)  1 C 1.24
N (0.0000, 0.7742, 0.5000)  1 C 1.24



# 11
Material: Pm2Hg3Au2
Method: DFT, PBE
State: relaxed

Computed properties:
**Crystal system**: monoclinic
**N(E_F)**: 0.482 states/eV per atom
**SG**: No. 12
**E above lowest polymorph**: 5 meV/atom
**Energy of formation**: -507 meV/atom

abc: 5.4087 5.4087 8.6911
angles: 91.61 91.61 42.85
Closest atoms and distances in Å follow each position.
Atoms (fractional coordinates):
Pm (0.0781, 0.0781, 0.1990)  5 Au 3.10-3.14, 5 Hg 3.21-3.39
Pm (0.9219, 0.9219, 0.8010)  5 Au 3.10-3.14, 5 Hg 3.21-3.39
Hg (0.2070, 0.2070, 0.6433)  5 Hg 3.11-3.31, 3 Pm 3.21-3.22, 2 Au 3.30
Hg (0.5000, 0.5000, 0.5000)  6 Hg 3.11-3.24, 4 Pm 3.39
Hg (0.7930, 0.7930, 0.3567)  5 Hg 3.11-3.31, 3 Pm 3.21-3.22, 2 Au 3.30
Au (0.3609, 0.3609, 0.0650)  3 Au 3.05-3.16, 5 Pm 3.10-3.14, 2 Hg 3.30
Au (0.6391, 0.6391, 0.9350)  3 Au 3.05-3.16, 5 Pm 3.10-3.14, 2 Hg 3.30



# 12
Material: Ac2MgCd3Hg4
Method: DFT, PBE
State: relaxed

Computed properties:
**Crystal system**: tetragonal
**N(E_F)**: 0.911 states/eV per atom
**SG**: No. 115
**Energy of formation**: -300 meV/atom

abc: 4.7119 4.7119 12.3326
angles: 90.00 90.00 90.00
Closest atoms and distances in Å follow each position.
Atoms (fractional coordinates):
Ac (0.0000, 0.5000, 0.2422)  6 Cd 3.58-3.96, 8 Hg 3.65-3.80, 2 Mg 3.96
Ac (0.5000, 0.0000, 0.7578)  6 Cd 3.58-3.96, 8 Hg 3.65-3.80, 2 Mg 3.96
Mg (0.0000, 0.0000, 0.5000)  4 Hg 2.90
Cd (0.0000, 0.5000, 0.8636)  5 Hg 2.80-2.90
Cd (0.5000, 0.0000, 0.1364)  5 Hg 2.80-2.90
Cd (0.5000, 0.5000, 0.5000)  4 Hg 2.90
Hg (0.0000, 0.0000, 0.0000)  4 Cd 2.90
Hg (0.0000, 0.5000, 0.6365)  3 Cd 2.80-2.90, 2 Mg 2.90
Hg (0.5000, 0.0000, 0.3635)  3 Cd 2.80-2.90, 2 Mg 2.90
Hg (0.5000, 0.5000, 0.0000)  4 Cd 2.90